Here is a relaxed Cd3H2Pt7 crystal from Alexandria via LeMat-Bulk. Energies are from GGA-PBE.

Structure (POSCAR):
```
Cd3H2Pt7
1.0
4.098 0.005 0.017
-0.009 4.077 -0.610
0.077 -0.512 10.511
Cd H Pt
3 2 7
Direct
0.500 0.500 0.000
0.499 0.697 0.392
0.501 0.303 0.608
0.090 0.970 0.762
0.910 0.030 0.238
0.998 0.409 0.803
0.997 0.792 0.594
0.000 0.000 0.000
0.002 0.591 0.197
0.491 0.100 0.193
0.509 0.900 0.807
0.003 0.208 0.406
```

Output
As for the density of states at the Fermi level: 7.3 states/eV/f.u. The total DFT energy (no corrections) comes out at -0.1650 Ha/atom.


Here is a relaxed CdHPt3 crystal from Alexandria via LeMat-Bulk. Energies are from GGA-PBE.

Structure (POSCAR):
```
CdHPt3
1.0
-0.547 2.725 4.340
-5.513 1.210 -1.455
-1.259 -4.723 0.842
H Pt Cd
2 6 2
Direct
0.948 0.250 0.304
0.052 0.750 0.696
0.742 0.989 0.250
0.258 0.011 0.750
0.742 0.511 0.250
0.258 0.489 0.750
0.274 0.250 0.251
0.726 0.750 0.749
0.760 0.250 0.757
0.240 0.750 0.243
```

Output
As for the density of states at the Fermi level: 2.7 states/eV/f.u. Its energy above the most stable polymorph in this dataset is 19 kJ/mol of formula units. The total DFT energy (no corrections) comes out at -0.1685 Ha/atom.


Here is a relaxed CdHPt3 crystal from Alexandria via LeMat-Bulk. Energies are from GGA-PBE.

Structure (POSCAR):
```
CdHPt3
1.0
5.575 0.000 2.433
0.000 8.141 0.000
1.394 0.000 4.521
H Pt Cd
2 6 2
Direct
0.692 0.250 0.775
0.308 0.750 0.225
0.518 0.423 0.732
0.482 0.577 0.268
0.518 0.077 0.732
0.482 0.923 0.268
0.483 0.250 0.264
0.517 0.750 0.736
0.011 0.250 0.075
0.989 0.750 0.925
```

Output
As for the density of states at the Fermi level: 2.3 states/eV/f.u. Its energy above the most stable polymorph in this dataset is 51 kJ/mol of formula units. The total DFT energy (no corrections) comes out at -0.1661 Ha/atom.


Here is a relaxed Cd2HPt6 crystal from Alexandria via LeMat-Bulk. Energies are from GGA-PBE.

Structure (POSCAR):
```
Cd2HPt6
1.0
5.733 0.000 -0.200
0.000 5.735 0.000
0.289 0.000 8.184
Cd H Pt
4 2 12
Direct
0.000 0.500 0.750
0.500 0.000 0.750
0.500 0.000 0.250
0.000 0.500 0.250
0.500 0.500 0.000
0.000 0.000 0.500
0.000 0.000 0.247
0.747 0.747 0.500
0.753 0.753 0.000
0.747 0.253 0.500
0.753 0.247 0.000
0.500 0.500 0.253
0.000 0.000 0.753
0.253 0.253 0.500
0.247 0.247 0.000
0.253 0.747 0.500
0.247 0.753 0.000
0.500 0.500 0.747
```

Output
As for the density of states at the Fermi level: 8.9 states/eV/f.u. The total DFT energy (no corrections) comes out at -0.1752 Ha/atom.